No. 1
VASP calculation (PBE) on AcNdHoTl after structural relaxation.

Unit cell a=5.672 b=5.672 c=5.672 alpha=60.00 beta=60.00 gamma=60.00
Atoms (fractional coordinates):
Ho (0.750, 0.750, 0.750)
Tl (0.000, 0.000, 0.000)
Ac (0.500, 0.500, 0.500)
Nd (0.250, 0.250, 0.250)

## Properties
Spin magnetization   0.00 Bohr magnetons per cell
DOS at the Fermi energy   7.4 states/eV/cell
DFT total energy   -15.72 eV per formula unit
Energy relative to the elements   0.025 eV/atom


No. 2
VASP calculation (PBE) on TbSmLuGa after structural relaxation.

Unit cell a=5.325 b=5.325 c=5.325 alpha=60.00 beta=60.00 gamma=60.00
Atoms (fractional coordinates):
Ga (0.250, 0.250, 0.250)
Sm (0.500, 0.500, 0.500)
Lu (0.750, 0.750, 0.750)
Tb (0.000, 0.000, 0.000)

## Properties
Spin magnetization   0.04 Bohr magnetons per cell
DOS at the Fermi energy   6.5 states/eV/cell
DFT total energy   -17.34 eV per formula unit
Energy relative to the elements   -0.111 eV/atom


No. 3
VASP calculation (PBE) on Sr2YZnAg after structural relaxation.

Unit cell a=6.643 b=5.312 c=6.643 alpha=90.00 beta=90.00 gamma=90.00
Each line ends with the local moment (μB).
Atoms (fractional coordinates):
Y (0.000, 0.000, 0.000)  0.33
Ag (0.000, 0.500, 0.000)  0.00
Zn (0.500, 0.500, 0.500)  0.00
Sr (0.000, 0.000, 0.500)  0.08
Sr (0.500, 0.000, 0.000)  0.06

## Properties
Spin magnetization   1.14 Bohr magnetons per cell
DOS at the Fermi energy   5.3 states/eV/cell
DFT total energy   -10.07 eV per formula unit
Energy relative to the elements   0.777 eV/atom


Please write out number 2 again, unchanged.
VASP calculation (PBE) on TbSmLuGa after structural relaxation.

Unit cell a=5.325 b=5.325 c=5.325 alpha=60.00 beta=60.00 gamma=60.00
Atoms (fractional coordinates):
Ga (0.250, 0.250, 0.250)
Sm (0.500, 0.500, 0.500)
Lu (0.750, 0.750, 0.750)
Tb (0.000, 0.000, 0.000)

## Properties
Spin magnetization   0.04 Bohr magnetons per cell
DOS at the Fermi energy   6.5 states/eV/cell
DFT total energy   -17.34 eV per formula unit
Energy relative to the elements   -0.111 eV/atom


Which of these has the lowest energy relative to the elements? TbSmLuGa


Copy entry 3 word for word.
VASP calculation (PBE) on Sr2YZnAg after structural relaxation.

Unit cell a=6.643 b=5.312 c=6.643 alpha=90.00 beta=90.00 gamma=90.00
Each line ends with the local moment (μB).
Atoms (fractional coordinates):
Y (0.000, 0.000, 0.000)  0.33
Ag (0.000, 0.500, 0.000)  0.00
Zn (0.500, 0.500, 0.500)  0.00
Sr (0.000, 0.000, 0.500)  0.08
Sr (0.500, 0.000, 0.000)  0.06

## Properties
Spin magnetization   1.14 Bohr magnetons per cell
DOS at the Fermi energy   5.3 states/eV/cell
DFT total energy   -10.07 eV per formula unit
Energy relative to the elements   0.777 eV/atom


Which of these has the highest energy relative to the elements? Sr2YZnAg